# 1
# ScAl2Rh

ScAl2Rh after structural relaxation (GGA-PBE, Alexandria).

Unit cell a=4.4685 b=4.4685 c=4.4685 alpha=60.00 beta=60.00 gamma=60.00
With the nearest neighbours (Å) after each atom.
Sites, in units of the cell vectors:
Al  0.7500  0.7500  0.7500  4 Sc 2.74, 4 Rh 2.74
Al  0.2500  0.2500  0.2500  4 Rh 2.74, 4 Sc 2.74
Sc  0.0000  0.0000  0.0000  8 Al 2.74
Rh  0.5000  0.5000  0.5000  8 Al 2.74

Values from the calculation:
- formation energy from the elements (eV per atom) = -0.69
- crystal system = cubic

=====

# 2
# BaMg4Ag2

BaMg4Ag2 after structural relaxation (GGA-PBE, Alexandria).

Unit cell a=4.8995 b=4.8995 c=9.3547 alpha=74.82 beta=74.82 gamma=60.00
With the nearest neighbours (Å) after each atom.
Sites, in units of the cell vectors:
Ag  0.2415  0.2415  0.2754  4 Mg 2.76-2.84
Ag  0.7585  0.7585  0.7246  4 Mg 2.76-2.84
Ba  0.0000  0.0000  0.0000  8 Mg 3.71-3.89, 6 Ag 3.75
Mg  0.4333  0.4333  0.7002  3 Ag 2.84, 3 Mg 3.01
Mg  0.1385  0.1385  0.5844  1 Ag 2.76, 3 Mg 3.01
Mg  0.5667  0.5667  0.2998  3 Ag 2.84, 3 Mg 3.01
Mg  0.8615  0.8615  0.4156  1 Ag 2.76, 3 Mg 3.01

Values from the calculation:
- formation energy from the elements (eV per atom) = -0.16
- crystal system = trigonal
- excess energy over the best structure of this formula in the dataset (eV per formula unit) = 0.34

=====

# 3
# SrCd6Pd4

SrCd6Pd4 after structural relaxation (GGA-PBE, Alexandria).

Unit cell a=7.1473 b=7.1473 c=7.1473 alpha=88.83 beta=120.68 gamma=120.68
With the nearest neighbours (Å) after each atom.
Sites, in units of the cell vectors:
Cd  0.6250  0.1087  0.1087  4 Pd 2.69-2.85
Cd  0.5000  0.5000  0.0000  4 Pd 2.74
Cd  0.0000  0.5164  0.8913  4 Pd 2.69-2.85
Cd  0.5000  0.0000  0.5000  4 Pd 2.74
Cd  0.0000  0.8913  0.5164  4 Pd 2.69-2.85
Cd  0.3750  0.4836  0.4836  4 Pd 2.69-2.85
Pd  0.3344  0.7418  0.7418  6 Cd 2.69-2.85, 2 Pd 2.81
Pd  0.6656  0.4074  0.4074  6 Cd 2.69-2.85, 2 Pd 2.81
Pd  0.0000  0.5926  0.2582  6 Cd 2.69-2.85, 2 Pd 2.81
Pd  0.0000  0.2582  0.5926  6 Cd 2.69-2.85, 2 Pd 2.81
Sr  0.0000  0.0000  0.0000  4 Pd 3.42, 12 Cd 3.54-3.76

Values from the calculation:
- formation energy from the elements (eV per atom) = -0.32
- crystal system = tetragonal

=====

# 4
# Ag6IBr2Cl2

Ag6IBr2Cl2 after structural relaxation (GGA-PBE, Alexandria).

Unit cell a=6.0483 b=7.4541 c=9.7506 alpha=126.59 beta=90.00 gamma=113.94
With the nearest neighbours (Å) after each atom.
Sites, in units of the cell vectors:
Br  0.6950  0.3900  0.1537  6 Ag 2.87-3.04
Br  0.3050  0.6100  0.8463  6 Ag 2.87-3.04
Cl  0.0841  0.1683  0.2872  3 Ag 2.58
Cl  0.9159  0.8317  0.7128  3 Ag 2.58
Ag  0.2114  0.4228  0.1761  1 Cl 2.58
Ag  0.3652  0.2213  0.8416  1 Cl 2.58, 1 Br 2.87
Ag  0.7886  0.5772  0.8240  1 Cl 2.58
Ag  0.6348  0.7787  0.1584  1 Cl 2.58, 1 Br 2.87
Ag  0.8560  0.2213  0.8416  1 Cl 2.58, 1 Br 2.87
Ag  0.1440  0.7787  0.1584  1 Cl 2.58, 1 Br 2.87
I  0.5000  0.0000  0.5000  6 Ag 3.00-3.04

Values from the calculation:
- crystal system = monoclinic
- DFT total energy (eV for the cell shown) = -28.1

=====

no.,volume (Å³/cell),size of the total moment (Bohr magnetons per cell),D(E_F) (states/eV/f.u.)
1,63.1,0.0,3.39
2,185.4,0.0,4.27
3,255.5,0.0,3.67
4,304.6,0.0,1.91